# Pm4SmTe5 | Alexandria via LeMat-Bulk | GGA-PBE | relaxed
data_Pm4SmTe5
_chemical_formula_sum 'Pm8 Sm2 Te10'
_symmetry_space_group_name_H-M 'I 4/m m m'
_symmetry_Int_Tables_number 139
_symmetry_space_group_name_Hall '-I 4 2'
_cell_length_a 4.4523
_cell_length_b 4.4523
_cell_length_c 31.6969
_cell_angle_alpha 90.00
_cell_angle_beta 90.00
_cell_angle_gamma 90.00
loop_
_atom_site_label
_atom_site_fract_x
_atom_site_fract_y
_atom_site_fract_z
Pm1 0.0000 0.0000 0.1024
Pm2 0.0000 0.0000 0.3041
Sm1 0.0000 0.0000 0.5000
Te1 0.0000 0.0000 0.0000
Te2 0.0000 0.0000 0.2026
Te3 0.0000 0.0000 0.4021
# **Magnetic moment**: 0.000 μB/cell
# **Formation energy from raw total energies**: -14.02 eV/f.u.
# **E**: -5.345 eV/atom